A plane-wave DFT calculation with PBE was carried out for a relaxed K3SrHf crystal.

Cell and atoms, written as CIF:
```
data_K3SrHf
_space_group_name_H-M_alt 'P 1'
_space_group_IT_number 1
_space_group_name_Hall 'P 1'
_cell_length_a 6.808
_cell_length_b 6.808
_cell_length_c 6.808
_cell_angle_alpha 90.00
_cell_angle_beta 90.00
_cell_angle_gamma 90.00
loop_
_atom_site_label
_atom_site_fract_x
_atom_site_fract_y
_atom_site_fract_z
K1 0.000 0.000 0.500
K2 0.000 0.500 0.000
K3 0.500 0.000 0.000
Sr1 0.500 0.500 0.500
Hf1 0.000 0.000 0.000
```

Output
E_form   1.129 eV/atom
SG   Pm-3m, No. 221
VASP energy   -1.86 eV per atom
Offset from the most stable computed form   0.000 eV/atom
Calculated volume   63.1 Å³/atom

A plane-wave DFT calculation with PBE was carried out for a relaxed K2SrHf crystal.

Cell and atoms, written as CIF:
```
data_K2SrHf
_space_group_name_H-M_alt 'P 1'
_space_group_IT_number 1
_space_group_name_Hall 'P 1'
_cell_length_a 6.340
_cell_length_b 6.340
_cell_length_c 6.340
_cell_angle_alpha 60.00
_cell_angle_beta 60.00
_cell_angle_gamma 60.00
loop_
_atom_site_label
_atom_site_fract_x
_atom_site_fract_y
_atom_site_fract_z
K1 0.250 0.250 0.250
K2 0.750 0.750 0.750
Sr1 0.000 0.000 0.000
Hf1 0.500 0.500 0.500
```

Output
E_form   1.074 eV/atom
SG   Fm-3m, No. 225
VASP energy   -2.38 eV per atom
Offset from the most stable computed form   0.000 eV/atom
Calculated volume   45.1 Å³/atom

A plane-wave DFT calculation with PBE was carried out for a relaxed KSrHf3 crystal.

Cell and atoms, written as CIF:
```
data_KSrHf3
_space_group_name_H-M_alt 'P 1'
_space_group_IT_number 1
_space_group_name_Hall 'P 1'
_cell_length_a 5.281
_cell_length_b 5.281
_cell_length_c 5.281
_cell_angle_alpha 90.00
_cell_angle_beta 90.00
_cell_angle_gamma 90.00
loop_
_atom_site_label
_atom_site_fract_x
_atom_site_fract_y
_atom_site_fract_z
K1 0.000 0.000 0.000
Sr1 0.500 0.500 0.500
Hf1 0.000 0.000 0.500
Hf2 0.000 0.500 0.000
Hf3 0.500 0.000 0.000
```

Output
E_form   1.927 eV/atom
SG   Pm-3m, No. 221
VASP energy   -4.60 eV per atom
Offset from the most stable computed form   0.000 eV/atom
Calculated volume   29.4 Å³/atom

A plane-wave DFT calculation with PBE was carried out for a relaxed K2SrHfTc crystal.

Cell and atoms, written as CIF:
```
data_K2SrHfTc
_space_group_name_H-M_alt 'P 1'
_space_group_IT_number 1
_space_group_name_Hall 'P 1'
_cell_length_a 5.899
_cell_length_b 5.899
_cell_length_c 5.509
_cell_angle_alpha 90.00
_cell_angle_beta 90.00
_cell_angle_gamma 90.00
loop_
_atom_site_label
_atom_site_fract_x
_atom_site_fract_y
_atom_site_fract_z
K1 0.000 0.500 0.000
K2 0.500 0.000 0.000
Sr1 0.000 0.000 0.500
Hf1 0.500 0.500 0.500
Tc1 0.000 0.000 0.000
```

Output
E_form   1.899 eV/atom
SG   P4/mmm, No. 123
VASP energy   -2.94 eV per atom
Calculated volume   38.3 Å³/atom

A plane-wave DFT calculation with PBE was carried out for a relaxed KHf3Ta crystal.

Cell and atoms, written as CIF:
```
data_KHf3Ta
_space_group_name_H-M_alt 'P 1'
_space_group_IT_number 1
_space_group_name_Hall 'P 1'
_cell_length_a 4.801
_cell_length_b 4.801
_cell_length_c 4.801
_cell_angle_alpha 90.00
_cell_angle_beta 90.00
_cell_angle_gamma 90.00
loop_
_atom_site_label
_atom_site_fract_x
_atom_site_fract_y
_atom_site_fract_z
K1 0.000 0.000 0.000
Hf1 0.000 0.000 0.500
Hf2 0.000 0.500 0.000
Hf3 0.500 0.000 0.000
Ta1 0.500 0.500 0.500
```

Output
E_form   2.251 eV/atom
SG   Pm-3m, No. 221
VASP energy   -6.31 eV per atom
Offset from the most stable computed form   1.120 eV/atom
Calculated volume   22.1 Å³/atom

A plane-wave DFT calculation with PBE was carried out for a relaxed KHf3Ta crystal.

Cell and atoms, written as CIF:
```
data_KHf3Ta
_space_group_name_H-M_alt 'P 1'
_space_group_IT_number 1
_space_group_name_Hall 'P 1'
_cell_length_a 5.287
_cell_length_b 5.287
_cell_length_c 5.287
_cell_angle_alpha 90.00
_cell_angle_beta 90.00
_cell_angle_gamma 90.00
loop_
_atom_site_label
_atom_site_fract_x
_atom_site_fract_y
_atom_site_fract_z
K1 0.000 0.000 0.000
Hf1 0.000 0.500 0.500
Hf2 0.500 0.000 0.500
Hf3 0.500 0.500 0.000
Ta1 0.500 0.500 0.500
```

Output
E_form   1.131 eV/atom
SG   Pm-3m, No. 221
VASP energy   -7.43 eV per atom
Offset from the most stable computed form   0.000 eV/atom
Calculated volume   29.6 Å³/atom

A plane-wave DFT calculation with PBE was carried out for a relaxed KHfTa3 crystal.

Cell and atoms, written as CIF:
```
data_KHfTa3
_space_group_name_H-M_alt 'P 1'
_space_group_IT_number 1
_space_group_name_Hall 'P 1'
_cell_length_a 4.689
_cell_length_b 4.689
_cell_length_c 4.689
_cell_angle_alpha 90.00
_cell_angle_beta 90.00
_cell_angle_gamma 90.00
loop_
_atom_site_label
_atom_site_fract_x
_atom_site_fract_y
_atom_site_fract_z
K1 0.000 0.000 0.000
Hf1 0.500 0.500 0.500
Ta1 0.000 0.000 0.500
Ta2 0.000 0.500 0.000
Ta3 0.500 0.000 0.000
```

Output
E_form   2.616 eV/atom
SG   Pm-3m, No. 221
VASP energy   -6.71 eV per atom
Offset from the most stable computed form   0.612 eV/atom
Calculated volume   20.6 Å³/atom

A plane-wave DFT calculation with PBE was carried out for a relaxed KHf2Ta crystal.

Cell and atoms, written as CIF:
```
data_KHf2Ta
_space_group_name_H-M_alt 'P 1'
_space_group_IT_number 1
_space_group_name_Hall 'P 1'
_cell_length_a 8.519
_cell_length_b 8.519
_cell_length_c 8.519
_cell_angle_alpha 129.26
_cell_angle_beta 129.26
_cell_angle_gamma 74.60
loop_
_atom_site_label
_atom_site_fract_x
_atom_site_fract_y
_atom_site_fract_z
K1 0.375 0.625 0.750
K2 0.625 0.375 0.250
Hf1 0.000 0.000 0.000
Hf2 0.000 0.000 0.500
Hf3 0.000 0.500 0.000
Hf4 0.500 0.000 0.500
Ta1 0.125 0.875 0.250
Ta2 0.875 0.125 0.750
```

Output
E_form   1.787 eV/atom
SG   I4_1/amd, No. 141
VASP energy   -6.43 eV per atom
Offset from the most stable computed form   0.636 eV/atom
Calculated volume   45.1 Å³/atom

A plane-wave DFT calculation with PBE was carried out for a relaxed KHf2Ta2 crystal.

Cell and atoms, written as CIF:
```
data_KHf2Ta2
_space_group_name_H-M_alt 'P 1'
_space_group_IT_number 1
_space_group_name_Hall 'P 1'
_cell_length_a 9.155
_cell_length_b 9.155
_cell_length_c 2.954
_cell_angle_alpha 90.00
_cell_angle_beta 90.00
_cell_angle_gamma 90.00
loop_
_atom_site_label
_atom_site_fract_x
_atom_site_fract_y
_atom_site_fract_z
K1 0.000 0.000 0.000
K2 0.500 0.500 0.000
Hf1 0.138 0.362 0.000
Hf2 0.362 0.862 0.000
Hf3 0.638 0.138 0.000
Hf4 0.862 0.638 0.000
Ta1 0.133 0.633 0.500
Ta2 0.367 0.133 0.500
Ta3 0.633 0.867 0.500
Ta4 0.867 0.367 0.500
```

Output
E_form   0.690 eV/atom
SG   P4/mbm, No. 127
VASP energy   -8.25 eV per atom
Offset from the most stable computed form   0.000 eV/atom
Calculated volume   24.8 Å³/atom

A plane-wave DFT calculation with PBE was carried out for a relaxed KHfTa3 crystal.

Cell and atoms, written as CIF:
```
data_KHfTa3
_space_group_name_H-M_alt 'P 1'
_space_group_IT_number 1
_space_group_name_Hall 'P 1'
_cell_length_a 5.115
_cell_length_b 5.115
_cell_length_c 5.115
_cell_angle_alpha 90.00
_cell_angle_beta 90.00
_cell_angle_gamma 90.00
loop_
_atom_site_label
_atom_site_fract_x
_atom_site_fract_y
_atom_site_fract_z
K1 0.000 0.000 0.000
Hf1 0.500 0.500 0.500
Ta1 0.000 0.500 0.500
Ta2 0.500 0.000 0.500
Ta3 0.500 0.500 0.000
```

Output
E_form   2.004 eV/atom
SG   Pm-3m, No. 221
VASP energy   -7.32 eV per atom
Offset from the most stable computed form   0.000 eV/atom
Calculated volume   26.8 Å³/atom

A plane-wave DFT calculation with PBE was carried out for a relaxed KHfTa2 crystal.

Cell and atoms, written as CIF:
```
data_KHfTa2
_space_group_name_H-M_alt 'P 1'
_space_group_IT_number 1
_space_group_name_Hall 'P 1'
_cell_length_a 10.845
_cell_length_b 10.845
_cell_length_c 10.845
_cell_angle_alpha 157.58
_cell_angle_beta 157.58
_cell_angle_gamma 31.92
loop_
_atom_site_label
_atom_site_fract_x
_atom_site_fract_y
_atom_site_fract_z
K1 0.000 0.000 0.000
K2 0.750 0.250 0.500
Hf1 0.250 0.750 0.500
Hf2 0.500 0.500 0.000
Ta1 0.152 0.125 0.527
Ta2 0.375 0.848 0.973
Ta3 0.598 0.625 0.473
Ta4 0.875 0.402 0.027
```

Output
E_form   1.602 eV/atom
SG   I-42d, No. 122
VASP energy   -7.09 eV per atom
Offset from the most stable computed form   0.070 eV/atom
Calculated volume   23.2 Å³/atom

A plane-wave DFT calculation with PBE was carried out for a relaxed KHf2Ta2 crystal.

Cell and atoms, written as CIF:
```
data_KHf2Ta2
_space_group_name_H-M_alt 'P 1'
_space_group_IT_number 1
_space_group_name_Hall 'P 1'
_cell_length_a 8.445
_cell_length_b 8.445
_cell_length_c 8.445
_cell_angle_alpha 152.10
_cell_angle_beta 152.10
_cell_angle_gamma 39.87
loop_
_atom_site_label
_atom_site_fract_x
_atom_site_fract_y
_atom_site_fract_z
K1 0.000 0.000 0.000
Hf1 0.377 0.377 0.000
Hf2 0.623 0.623 0.000
Ta1 0.250 0.750 0.500
Ta2 0.750 0.250 0.500
```

Output
E_form   0.970 eV/atom
SG   I4/mmm, No. 139
VASP energy   -7.97 eV per atom
Offset from the most stable computed form   0.280 eV/atom
Calculated volume   26.3 Å³/atom

A plane-wave DFT calculation with PBE was carried out for a relaxed KHf2Ta crystal.

Cell and atoms, written as CIF:
```
data_KHf2Ta
_space_group_name_H-M_alt 'P 1'
_space_group_IT_number 1
_space_group_name_Hall 'P 1'
_cell_length_a 5.063
_cell_length_b 5.063
_cell_length_c 5.063
_cell_angle_alpha 60.00
_cell_angle_beta 60.00
_cell_angle_gamma 60.00
loop_
_atom_site_label
_atom_site_fract_x
_atom_site_fract_y
_atom_site_fract_z
K1 0.000 0.000 0.000
Hf1 0.250 0.250 0.250
Hf2 0.750 0.750 0.750
Ta1 0.500 0.500 0.500
```

Output
E_form   1.151 eV/atom
SG   Fm-3m, No. 225
VASP energy   -7.06 eV per atom
Offset from the most stable computed form   0.000 eV/atom
Calculated volume   22.9 Å³/atom

A plane-wave DFT calculation with PBE was carried out for a relaxed KHfTa2 crystal.

Cell and atoms, written as CIF:
```
data_KHfTa2
_space_group_name_H-M_alt 'P 1'
_space_group_IT_number 1
_space_group_name_Hall 'P 1'
_cell_length_a 4.994
_cell_length_b 4.994
_cell_length_c 4.994
_cell_angle_alpha 60.00
_cell_angle_beta 60.00
_cell_angle_gamma 60.00
loop_
_atom_site_label
_atom_site_fract_x
_atom_site_fract_y
_atom_site_fract_z
K1 0.000 0.000 0.000
Hf1 0.500 0.500 0.500
Ta1 0.250 0.250 0.250
Ta2 0.750 0.750 0.750
```

Output
E_form   1.532 eV/atom
SG   Fm-3m, No. 225
VASP energy   -7.16 eV per atom
Offset from the most stable computed form   0.000 eV/atom
Calculated volume   22.0 Å³/atom

A plane-wave DFT calculation with PBE was carried out for a relaxed K2HfTaW crystal.

Cell and atoms, written as CIF:
```
data_K2HfTaW
_space_group_name_H-M_alt 'P 1'
_space_group_IT_number 1
_space_group_name_Hall 'P 1'
_cell_length_a 6.161
_cell_length_b 6.161
_cell_length_c 4.989
_cell_angle_alpha 90.00
_cell_angle_beta 90.00
_cell_angle_gamma 90.00
loop_
_atom_site_label
_atom_site_fract_x
_atom_site_fract_y
_atom_site_fract_z
K1 0.000 0.500 0.000
K2 0.500 0.000 0.000
Hf1 0.000 0.000 0.000
Ta1 0.000 0.000 0.500
W1 0.500 0.500 0.500
```

Output
E_form   2.763 eV/atom
SG   P4/mmm, No. 123
VASP energy   -4.63 eV per atom
Calculated volume   37.9 Å³/atom

A plane-wave DFT calculation with PBE was carried out for a relaxed K3Tb2HfTe6 crystal.

Cell and atoms, written as CIF:
```
data_K3Tb2HfTe6
_space_group_name_H-M_alt 'P 1'
_space_group_IT_number 1
_space_group_name_Hall 'P 1'
_cell_length_a 7.598
_cell_length_b 7.598
_cell_length_c 8.667
_cell_angle_alpha 98.43
_cell_angle_beta 98.43
_cell_angle_gamma 120.01
loop_
_atom_site_label
_atom_site_fract_x
_atom_site_fract_y
_atom_site_fract_z
K1 0.000 0.000 0.000
K2 0.328 0.672 0.000
K3 0.672 0.328 0.000
Tb1 0.166 0.834 0.500
Tb2 0.834 0.166 0.500
Hf1 0.500 0.500 0.500
Te1 0.114 0.431 0.294
Te2 0.253 0.253 0.708
Te3 0.431 0.114 0.294
Te4 0.569 0.886 0.706
Te5 0.747 0.747 0.292
Te6 0.886 0.569 0.706
```

Output
SG   C2/m, No. 12
VASP energy   -4.65 eV per atom
Calculated volume   34.5 Å³/atom
Uncorrected formation energy   -27.9 kcal/mol of atoms

A plane-wave DFT calculation with PBE was carried out for a relaxed K2Tb2HfTe6 crystal.

Cell and atoms, written as CIF:
```
data_K2Tb2HfTe6
_space_group_name_H-M_alt 'P 1'
_space_group_IT_number 1
_space_group_name_Hall 'P 1'
_cell_length_a 7.516
_cell_length_b 7.516
_cell_length_c 8.840
_cell_angle_alpha 98.57
_cell_angle_beta 98.57
_cell_angle_gamma 119.68
loop_
_atom_site_label
_atom_site_fract_x
_atom_site_fract_y
_atom_site_fract_z
K1 0.172 0.828 0.000
K2 0.828 0.172 0.000
Tb1 0.332 0.668 0.500
Tb2 0.668 0.332 0.500
Hf1 0.000 0.000 0.500
Te1 0.074 0.387 0.704
Te2 0.246 0.246 0.298
Te3 0.387 0.074 0.704
Te4 0.613 0.926 0.296
Te5 0.754 0.754 0.702
Te6 0.926 0.613 0.296
```

Output
SG   C2/m, No. 12
VASP energy   -4.89 eV per atom
Calculated volume   37.7 Å³/atom
Uncorrected formation energy   -28.3 kcal/mol of atoms

A plane-wave DFT calculation with PBE was carried out for a relaxed K2TbHf2Te6 crystal.

Cell and atoms, written as CIF:
```
data_K2TbHf2Te6
_space_group_name_H-M_alt 'P 1'
_space_group_IT_number 1
_space_group_name_Hall 'P 1'
_cell_length_a 7.287
_cell_length_b 7.287
_cell_length_c 8.851
_cell_angle_alpha 97.51
_cell_angle_beta 97.51
_cell_angle_gamma 120.26
loop_
_atom_site_label
_atom_site_fract_x
_atom_site_fract_y
_atom_site_fract_z
K1 0.161 0.839 0.000
K2 0.839 0.161 0.000
Tb1 0.000 0.000 0.500
Hf1 0.332 0.668 0.500
Hf2 0.668 0.332 0.500
Te1 0.066 0.414 0.702
Te2 0.289 0.289 0.298
Te3 0.414 0.066 0.702
Te4 0.586 0.934 0.298
Te5 0.711 0.711 0.702
Te6 0.934 0.586 0.298
```

Output
SG   C2/m, No. 12
VASP energy   -5.20 eV per atom
Calculated volume   35.6 Å³/atom
Uncorrected formation energy   -24.4 kcal/mol of atoms

A plane-wave DFT calculation with PBE was carried out for a relaxed KHfTc3 crystal.

Cell and atoms, written as CIF:
```
data_KHfTc3
_space_group_name_H-M_alt 'P 1'
_space_group_IT_number 1
_space_group_name_Hall 'P 1'
_cell_length_a 4.967
_cell_length_b 4.967
_cell_length_c 4.967
_cell_angle_alpha 90.00
_cell_angle_beta 90.00
_cell_angle_gamma 90.00
loop_
_atom_site_label
_atom_site_fract_x
_atom_site_fract_y
_atom_site_fract_z
K1 0.000 0.000 0.000
Hf1 0.500 0.500 0.500
Tc1 0.000 0.500 0.500
Tc2 0.500 0.000 0.500
Tc3 0.500 0.500 0.000
```

Output
E_form   1.806 eV/atom
SG   Pm-3m, No. 221
VASP energy   -6.62 eV per atom
Offset from the most stable computed form   0.000 eV/atom
Calculated volume   24.5 Å³/atom

A plane-wave DFT calculation with PBE was carried out for a relaxed KHfTc3 crystal.

Cell and atoms, written as CIF:
```
data_KHfTc3
_space_group_name_H-M_alt 'P 1'
_space_group_IT_number 1
_space_group_name_Hall 'P 1'
_cell_length_a 4.502
_cell_length_b 4.502
_cell_length_c 4.502
_cell_angle_alpha 90.00
_cell_angle_beta 90.00
_cell_angle_gamma 90.00
loop_
_atom_site_label
_atom_site_fract_x
_atom_site_fract_y
_atom_site_fract_z
K1 0.000 0.000 0.000
Hf1 0.500 0.500 0.500
Tc1 0.000 0.000 0.500
Tc2 0.000 0.500 0.000
Tc3 0.500 0.000 0.000
```

Output
E_form   2.559 eV/atom
SG   Pm-3m, No. 221
VASP energy   -5.87 eV per atom
Offset from the most stable computed form   0.753 eV/atom
Calculated volume   18.3 Å³/atom